(1)
# TmHfPdRh GGA-PBE optimized geometry
data_TmHfPdRh
_chemical_formula_sum 'Tm4 Hf4 Pd4 Rh4'
_cell_length_a 6.718
_cell_length_b 6.718
_cell_length_c 6.718
_cell_angle_alpha 90.00
_cell_angle_beta 90.00
_cell_angle_gamma 90.00
_symmetry_space_group_name_H-M 'F -4 3 m'
_symmetry_Int_Tables_number 216
_symmetry_space_group_name_Hall 'F -4 2 3'
loop_
_atom_site_label
_atom_site_type_symbol
_atom_site_fract_x
_atom_site_fract_y
_atom_site_fract_z
_atom_site_occupancy
Tm1 Tm 0.000 0.000 0.000 1
Hf1 Hf 0.000 0.000 0.500 1
Pd1 Pd 0.250 0.250 0.250 1
Rh1 Rh 0.250 0.250 0.750 1
# * volume: 18.95 A^3/atom
# * E_tot: -7.55 eV/atom
# * formation energy: -0.8037 eV per atom

(2)
# YHfPdRh2 GGA-PBE optimized geometry
data_YHfPdRh2
_chemical_formula_sum 'Y1 Hf1 Pd1 Rh2'
_cell_length_a 4.677
_cell_length_b 4.677
_cell_length_c 5.580
_cell_angle_alpha 90.00
_cell_angle_beta 90.00
_cell_angle_gamma 90.00
_symmetry_space_group_name_H-M 'P 4/m m m'
_symmetry_Int_Tables_number 123
_symmetry_space_group_name_Hall '-P 4 2'
loop_
_atom_site_label
_atom_site_type_symbol
_atom_site_fract_x
_atom_site_fract_y
_atom_site_fract_z
_atom_site_occupancy
Y1 Y 0.000 0.000 0.000 1
Hf1 Hf 0.000 0.000 0.500 1
Pd1 Pd 0.500 0.500 0.000 1
Rh1 Rh 0.000 0.500 0.500 1
# * volume: 24.41 A^3/atom
# * E_tot: -6.58 eV/atom
# * formation energy: 0.6818 eV per atom

(3)
# Hf3Zn3Pd2Rh GGA-PBE optimized geometry
data_Hf3Zn3Pd2Rh
_chemical_formula_sum 'Hf3 Zn3 Pd2 Rh1'
_cell_length_a 7.5283
_cell_length_b 7.5283
_cell_length_c 3.1696
_cell_angle_alpha 90.00
_cell_angle_beta 90.00
_cell_angle_gamma 120.00
_symmetry_space_group_name_H-M 'P -6 2 m'
_symmetry_Int_Tables_number 189
_symmetry_space_group_name_Hall 'P -6 -2'
loop_
_atom_site_label
_atom_site_type_symbol
_atom_site_fract_x
_atom_site_fract_y
_atom_site_fract_z
_atom_site_occupancy
Hf1 Hf 0.0000 0.7160 0.0000 1
Zn1 Zn 0.0000 0.3762 0.5000 1
Pd1 Pd 0.3333 0.6667 0.0000 1
Rh1 Rh 0.0000 0.0000 0.5000 1
# * volume: 17.29 A^3/atom
# * E_tot: -6.21 eV/atom
# * formation energy: -0.4962 eV per atom

(4)
# Hf2ZrPdRh GGA-PBE optimized geometry
data_Hf2ZrPdRh
_chemical_formula_sum 'Hf2 Zr1 Pd1 Rh1'
_cell_length_a 4.926
_cell_length_b 4.926
_cell_length_c 4.988
_cell_angle_alpha 90.00
_cell_angle_beta 90.00
_cell_angle_gamma 90.00
_symmetry_space_group_name_H-M 'P 4/m m m'
_symmetry_Int_Tables_number 123
_symmetry_space_group_name_Hall '-P 4 2'
loop_
_atom_site_label
_atom_site_type_symbol
_atom_site_fract_x
_atom_site_fract_y
_atom_site_fract_z
_atom_site_occupancy
Hf1 Hf 0.000 0.500 0.000 1
Zr1 Zr 0.000 0.000 0.500 1
Pd1 Pd 0.000 0.000 0.000 1
Rh1 Rh 0.500 0.500 0.500 1
# * volume: 24.21 A^3/atom
# * E_tot: -7.58 eV/atom
# * formation energy: 0.6211 eV per atom

(5)
# HfPd3Ru GGA-PBE optimized geometry
data_HfPd3Ru
_chemical_formula_sum 'Hf1 Pd3 Ru1'
_cell_length_a 4.732
_cell_length_b 4.732
_cell_length_c 4.732
_cell_angle_alpha 90.00
_cell_angle_beta 90.00
_cell_angle_gamma 90.00
_symmetry_space_group_name_H-M 'P m -3 m'
_symmetry_Int_Tables_number 221
_symmetry_space_group_name_Hall '-P 4 2 3'
loop_
_atom_site_label
_atom_site_type_symbol
_atom_site_fract_x
_atom_site_fract_y
_atom_site_fract_z
_atom_site_occupancy
Hf1 Hf 0.000 0.000 0.000 1
Pd1 Pd 0.000 0.500 0.500 1
Ru1 Ru 0.500 0.500 0.500 1
# * volume: 21.19 A^3/atom
# * E_tot: -5.93 eV/atom
# * formation energy: 1.0267 eV per atom
# * energy above the lowest structure with this stoichiometry: 0.00 kcal/mol of atoms

(6)
# HfPd2Ru GGA-PBE optimized geometry
data_HfPd2Ru
_chemical_formula_sum 'Hf4 Pd8 Ru4'
_cell_length_a 3.814
_cell_length_b 3.814
_cell_length_c 18.996
_cell_angle_alpha 90.00
_cell_angle_beta 90.00
_cell_angle_gamma 90.00
_symmetry_space_group_name_H-M 'I -4 2 d'
_symmetry_Int_Tables_number 122
_symmetry_space_group_name_Hall 'I -4 2bw'
loop_
_atom_site_label
_atom_site_type_symbol
_atom_site_fract_x
_atom_site_fract_y
_atom_site_fract_z
_atom_site_occupancy
Hf1 Hf 0.000 0.000 0.000 1
Pd1 Pd 0.244 0.250 0.625 1
Ru1 Ru 0.000 0.000 0.500 1
# * volume: 17.27 A^3/atom
# * E_tot: -7.54 eV/atom
# * formation energy: -0.1340 eV per atom

(7)
# HfPdRu2 GGA-PBE optimized geometry
data_HfPdRu2
_chemical_formula_sum 'Hf4 Pd4 Ru8'
_cell_length_a 6.336
_cell_length_b 6.336
_cell_length_c 6.336
_cell_angle_alpha 90.00
_cell_angle_beta 90.00
_cell_angle_gamma 90.00
_symmetry_space_group_name_H-M 'F m -3 m'
_symmetry_Int_Tables_number 225
_symmetry_space_group_name_Hall '-F 4 2 3'
loop_
_atom_site_label
_atom_site_type_symbol
_atom_site_fract_x
_atom_site_fract_y
_atom_site_fract_z
_atom_site_occupancy
Hf1 Hf 0.000 0.000 0.000 1
Pd1 Pd 0.000 0.000 0.500 1
Ru1 Ru 0.250 0.250 0.250 1
# * volume: 15.90 A^3/atom
# * E_tot: -8.56 eV/atom
# * formation energy: -0.1374 eV per atom

(8)
# HfPd2Ru GGA-PBE optimized geometry
data_HfPd2Ru
_chemical_formula_sum 'Hf1 Pd2 Ru1'
_cell_length_a 3.951
_cell_length_b 3.951
_cell_length_c 4.067
_cell_angle_alpha 90.00
_cell_angle_beta 90.00
_cell_angle_gamma 90.00
_symmetry_space_group_name_H-M 'P 4/m m m'
_symmetry_Int_Tables_number 123
_symmetry_space_group_name_Hall '-P 4 2'
loop_
_atom_site_label
_atom_site_type_symbol
_atom_site_fract_x
_atom_site_fract_y
_atom_site_fract_z
_atom_site_occupancy
Hf1 Hf 0.000 0.000 0.000 1
Pd1 Pd 0.000 0.500 0.500 1
Ru1 Ru 0.500 0.500 0.000 1
# * volume: 15.87 A^3/atom
# * E_tot: -7.97 eV/atom
# * formation energy: -0.5631 eV per atom